Density functional theory data (PBE) for crystalline FeNiOs2 at its relaxed geometry.

Structure (POSCAR):
```
FeNiOs2
1.0
-0.365 -0.648 2.579
-1.635 -1.998 -0.734
5.674 -4.521 -0.335
Os Ni Fe
2 1 1
Direct
0.000 0.000 0.995
0.500 0.500 0.251
0.500 0.500 0.742
0.000 0.000 0.512
```

Values from the calculation:
- formation energy (eV/atom) = 0.15
- E above lowest polymorph (eV/atom) = 0.050
- mass density (g/cm³) = 15.71